Entry P
Density functional theory data (GGA-PBE) for a relaxed structure of SrNi2Au2.

Unit cell a=7.721 b=7.721 c=3.025 alpha=90.00 beta=90.00 gamma=90.00
Fractional coordinates of all 10 atoms:
Sr  0.000  0.000  0.000
Sr  0.500  0.500  0.000
Ni  0.160  0.340  0.500
Ni  0.340  0.840  0.500
Ni  0.660  0.160  0.500
Ni  0.840  0.660  0.500
Au  0.134  0.634  0.000
Au  0.366  0.134  0.000
Au  0.634  0.866  0.000
Au  0.866  0.366  0.000

Calculated values
The mass density comes out at 11.0 g/cm³. Its symmetry is P4/mbm, No. 127. Its volume is 180 Å³ per cell.

---

Entry Q
Density functional theory data (GGA-PBE) for a relaxed structure of SrNi2Au2.

Unit cell a=4.398 b=4.398 c=10.147 alpha=90.00 beta=90.00 gamma=90.00
Fractional coordinates of all 10 atoms:
Sr  0.000  0.000  0.000
Sr  0.500  0.500  0.500
Ni  0.000  0.000  0.388
Ni  0.000  0.000  0.612
Ni  0.500  0.500  0.112
Ni  0.500  0.500  0.888
Au  0.000  0.500  0.250
Au  0.000  0.500  0.750
Au  0.500  0.000  0.250
Au  0.500  0.000  0.750

Calculated values
The mass density comes out at 10.1 g/cm³. Its symmetry is I4/mmm, No. 139. Its volume is 196 Å³ per cell.

---

Entry R
Density functional theory data (GGA-PBE) for a relaxed structure of SrNi2Au2.

Unit cell a=7.536 b=7.536 c=3.145 alpha=90.00 beta=90.00 gamma=90.00
Fractional coordinates of all 10 atoms:
Sr  0.000  0.000  0.000
Sr  0.500  0.500  0.000
Ni  0.117  0.383  0.000
Ni  0.383  0.883  0.000
Ni  0.617  0.117  0.000
Ni  0.883  0.617  0.000
Au  0.173  0.673  0.500
Au  0.327  0.173  0.500
Au  0.673  0.827  0.500
Au  0.827  0.327  0.500

Calculated values
The mass density comes out at 11.1 g/cm³. Its symmetry is P4/mbm, No. 127. Its volume is 179 Å³ per cell.

---

Ranking the structures above by energy, entry Q is first and the second is 42 meV/atom behind.